## Sm2ZnCu4Ge3 (PBE)

Data for a geometry-optimized Sm2ZnCu4Ge3 structure.

Computed properties:
Symmetry = No. 115
ΔE_f = -0.49 eV per atom
Mass density = 7.99 Mg/m³

a b c (Å): 4.123 4.123 10.251
angles (deg): 90.00 90.00 90.00
Fractional positions:
Sm 0.000 0.500 0.244
Sm 0.500 0.000 0.756
Zn 0.000 0.000 0.500
Cu 0.000 0.000 0.000
Cu 0.000 0.500 0.634
Cu 0.500 0.000 0.366
Cu 0.500 0.500 0.000
Ge 0.000 0.500 0.866
Ge 0.500 0.000 0.134
Ge 0.500 0.500 0.500